# PBE ScCoP3, relaxed
data_ScCoP3
_chemical_formula_sum 'Sc1 Co1 P3'
_cell_length_a 4.824
_cell_length_b 4.824
_cell_length_c 4.824
_cell_angle_alpha 90.00
_cell_angle_beta 90.00
_cell_angle_gamma 90.00
_space_group_name_H-M_alt 'P m -3 m'
_space_group_IT_number 221
_space_group_name_Hall '-P 4 2 3'
loop_
_atom_site_label
_atom_site_type_symbol
_atom_site_fract_x
_atom_site_fract_y
_atom_site_fract_z
Sc1 Sc 0.000 0.000 0.000
Co1 Co 0.500 0.500 0.500
P1 P 0.000 0.000 0.500
# **V**: 22.5 A^3/atom
# **Relative energy among the computed polymorphs**: 1039.4 meV per atom
# **Size of the total moment**: 0.00 μB/f.u.